CsMnCr2O8 (GGA+U, optimized geometry); final energy = -0.244 Ha/atom; DOS at the Fermi energy = 5.2 states/eV per cell; total moment = 0.333 μB per atom
1.0
-2.4869 2.3534 -4.0378
-0.4804 -5.2225 0.7225
-6.8811 1.3263 5.0112
Cs Mn Cr O
1 1 2 8
Direct
0.0000 0.0000 0.0000
0.0000 0.0000 0.5000
0.6667 0.3333 0.3014
0.3333 0.6667 0.6986
0.3333 0.6667 0.8882
0.3371 0.2663 0.3627
0.7337 0.0708 0.3627
0.6667 0.3333 0.1118
0.2663 0.9292 0.6373
0.6629 0.7337 0.6373
0.0708 0.3371 0.6373
0.9292 0.6629 0.3627